Here is a relaxed Dy2MgCu crystal from Alexandria via LeMat-Bulk. Energies are from PBE.

Cell lengths 3.5879, 3.5879, 28.1226 Å; angles 90.00, 90.00, 120.00 degrees
Space group R-3m (No. 166, hexagonal axes)
Inequivalent atoms, fractional coordinates:
Dy 0.0000 0.0000 0.2371 [6 per cell]
Mg 0.0000 0.0000 0.0000 [3 per cell]
Cu 0.0000 0.0000 0.5000 [3 per cell]

Values from the calculation:
Its formation energy is 0.04 eV per atom. The calculation puts the energy above the most stable polymorph in this dataset at 4.39 kcal/mol of atoms. As for the crystal system: trigonal.